{
  "formula": "Sm8AlGa6",
  "functional": "PBE-GGA",
  "state": "optimized geometry",
  "e_form_kj_per_mol_fu": -511,
  "crystal_system": "trigonal",
  "mass_density_g_cm3": 6.60,
  "cell": [[-0.8797, 6.8350, 5.5977], [-7.2585, 5.1021, -0.3297], [-5.4567, 0.3350, 5.7743]],
  "species": ["Sm", "Sm", "Sm", "Sm", "Sm", "Sm", "Sm", "Sm", "Al", "Ga", "Ga", "Ga", "Ga", "Ga", "Ga"],
  "frac_coords": [[0.3799, 0.8282, 0.6728], [0.6201, 0.1718, 0.3272], [0.8809, 0.6201, 0.3272], [0.1718, 0.8809, 0.3272], [0.8282, 0.1191, 0.6728], [0.6715, 0.6715, 0.9855], [0.3285, 0.3285, 0.0145], [0.1191, 0.3799, 0.6728], [0.0000, 0.0000, 0.0000], [0.0512, 0.7085, 0.8357], [0.9488, 0.2915, 0.1643], [0.5954, 0.9488, 0.1643], [0.7085, 0.4046, 0.8357], [0.4046, 0.0512, 0.8357], [0.2915, 0.5954, 0.1643]]
}

{
  "formula": "Sm3Al3Ga2",
  "functional": "PBE-GGA",
  "state": "optimized geometry",
  "e_form_kj_per_mol_fu": -401,
  "crystal_system": "orthorhombic",
  "mass_density_g_cm3": 5.87,
  "cell": [[4.2544, 0.0000, 0.0000], [-2.1272, 5.6415, 0.0000], [0.0000, 0.0000, 15.8399]],
  "species": ["Sm", "Sm", "Sm", "Sm", "Sm", "Sm", "Ga", "Ga", "Ga", "Ga", "Al", "Al", "Al", "Al", "Al", "Al"],
  "frac_coords": [[0.8631, 0.7262, 0.0953], [0.1369, 0.2738, 0.5953], [0.5754, 0.1507, 0.2500], [0.8631, 0.7262, 0.4047], [0.4246, 0.8493, 0.7500], [0.1369, 0.2738, 0.9047], [0.8426, 0.6852, 0.8815], [0.1574, 0.3148, 0.3815], [0.1574, 0.3148, 0.1185], [0.8426, 0.6852, 0.6185], [0.7006, 0.4012, 0.7500], [0.2994, 0.5988, 0.2500], [0.4190, 0.8380, 0.9456], [0.4190, 0.8380, 0.5544], [0.5810, 0.1620, 0.0544], [0.5810, 0.1620, 0.4456]]
}

{
  "formula": "Sm8Al2Ga",
  "functional": "PBE-GGA",
  "state": "optimized geometry",
  "e_form_kj_per_mol_fu": -181,
  "crystal_system": "orthorhombic",
  "de_polymorph_ev_per_fu": 0.43,
  "mass_density_g_cm3": 6.96,
  "cell": [[4.8571, 0.0000, -1.4782], [-1.2624, 7.3032, -4.1478], [0.0403, 0.0954, 8.8511]],
  "species": ["Sm", "Sm", "Sm", "Sm", "Sm", "Sm", "Sm", "Sm", "Ga", "Al", "Al"],
  "frac_coords": [[0.1383, 0.1382, 0.2765], [0.0000, 0.6830, 0.0000], [0.6584, 0.4365, 0.3168], [0.6584, 0.8803, 0.3168], [0.0000, 0.3170, 0.0000], [0.8617, 0.8618, 0.7235], [0.3416, 0.1197, 0.6832], [0.3416, 0.5635, 0.6832], [0.5000, 0.0000, 0.0000], [0.8066, 0.3066, 0.6132], [0.1934, 0.6934, 0.3868]]
}

{
  "formula": "Sm6Al2Ga",
  "functional": "PBE-GGA",
  "state": "optimized geometry",
  "e_form_kj_per_mol_fu": -234,
  "crystal_system": "orthorhombic",
  "de_polymorph_ev_per_fu": 0.00,
  "mass_density_g_cm3": 6.55,
  "cell": [[8.2508, 0.2453, -2.9730], [-4.2385, 7.1921, -2.6987], [-0.0563, -0.2453, 8.7699]],
  "species": ["Sm", "Sm", "Sm", "Sm", "Sm", "Sm", "Sm", "Sm", "Sm", "Sm", "Sm", "Sm", "Al", "Al", "Al", "Al", "Ga", "Ga"],
  "frac_coords": [[0.5649, 0.7394, 0.8255], [0.1965, 0.2547, 0.4512], [0.4351, 0.2606, 0.1745], [0.9139, 0.7394, 0.1745], [0.8035, 0.7453, 0.5488], [0.0861, 0.2606, 0.8255], [0.7197, 0.3925, 0.6728], [0.8035, 0.2547, 0.0582], [0.1965, 0.7453, 0.9418], [0.7197, 0.0469, 0.3272], [0.2803, 0.6075, 0.3272], [0.2803, 0.9531, 0.6728], [0.3646, 0.0000, 0.3646], [0.6354, 0.0000, 0.6354], [0.5000, 0.3724, 0.8724], [0.5000, 0.6276, 0.1276], [0.0000, 0.0000, 0.0000], [0.0000, 0.5000, 0.5000]]
}

{
  "formula": "SmAl2Ga3",
  "functional": "PBE-GGA",
  "state": "optimized geometry",
  "e_form_kj_per_mol_fu": -144,
  "crystal_system": "orthorhombic",
  "mass_density_g_cm3": 5.78,
  "cell": [[4.4729, 0.0000, 0.0000], [-2.2365, 5.2246, 0.0000], [0.0000, 0.0000, 10.1614]],
  "species": ["Ga", "Ga", "Ga", "Ga", "Ga", "Ga", "Al", "Al", "Al", "Al", "Sm", "Sm"],
  "frac_coords": [[0.1262, 0.2525, 0.7500], [0.6776, 0.3553, 0.0342], [0.6776, 0.3553, 0.4658], [0.8738, 0.7475, 0.2500], [0.3224, 0.6447, 0.5342], [0.3224, 0.6447, 0.9658], [0.0000, 0.0000, 0.5000], [0.4883, 0.9767, 0.2500], [0.0000, 0.0000, 0.0000], [0.5117, 0.0233, 0.7500], [0.8170, 0.6340, 0.7500], [0.1830, 0.3660, 0.2500]]
}

{
  "formula": "Sm7Al2Ga2",
  "functional": "PBE-GGA",
  "state": "optimized geometry",
  "e_form_kj_per_mol_fu": -94,
  "crystal_system": "orthorhombic",
  "mass_density_g_cm3": 6.35,
  "cell": [[-2.7740, 4.0215, -4.5593], [-1.2585, -6.1683, -4.6751], [-4.5574, -2.3273, 4.2975]],
  "species": ["Sm", "Sm", "Sm", "Sm", "Sm", "Sm", "Sm", "Al", "Al", "Ga", "Ga"],
  "frac_coords": [[0.0000, 0.0000, 0.0000], [0.5000, 0.7359, 0.5000], [0.5000, 0.7101, 0.0000], [0.5000, 0.2641, 0.5000], [0.0000, 0.7101, 0.5000], [0.5000, 0.2899, 0.0000], [0.0000, 0.2899, 0.5000], [0.2913, 0.0000, 0.7087], [0.7087, 0.0000, 0.2913], [0.8316, 0.5000, 0.8316], [0.1684, 0.5000, 0.1684]]
}

{
  "formula": "Sm6AlGa",
  "functional": "PBE-GGA",
  "state": "optimized geometry",
  "e_form_kj_per_mol_fu": -154,
  "crystal_system": "tetragonal",
  "mass_density_g_cm3": 7.37,
  "cell": [[4.8265, 0.0000, 0.0000], [0.0000, 4.8265, 0.0000], [0.0000, 0.0000, 9.6584]],
  "species": ["Sm", "Sm", "Sm", "Sm", "Sm", "Sm", "Ga", "Al"],
  "frac_coords": [[0.5000, 0.5000, 0.5000], [0.0000, 0.5000, 0.2491], [0.0000, 0.5000, 0.7509], [0.5000, 0.0000, 0.7509], [0.5000, 0.0000, 0.2491], [0.5000, 0.5000, 0.0000], [0.0000, 0.0000, 0.0000], [0.0000, 0.0000, 0.5000]]
}

{
  "formula": "Sm5Al2Ga",
  "functional": "PBE-GGA",
  "state": "optimized geometry",
  "e_form_kj_per_mol_fu": -249,
  "crystal_system": "tetragonal",
  "mass_density_g_cm3": 6.48,
  "cell": [[-4.0324, 3.5196, -5.7161], [4.7275, -3.2451, -5.3331], [-4.8039, -5.9322, 5.1003]],
  "species": ["Sm", "Sm", "Sm", "Sm", "Sm", "Sm", "Sm", "Sm", "Sm", "Sm", "Al", "Al", "Al", "Al", "Ga", "Ga"],
  "frac_coords": [[0.8234, 0.9775, 0.3008], [0.5225, 0.6766, 0.6992], [0.0225, 0.5225, 0.6992], [0.6766, 0.1766, 0.6992], [0.1766, 0.0225, 0.6992], [0.3234, 0.8234, 0.3008], [0.9775, 0.4775, 0.3008], [0.5000, 0.5000, 0.0000], [0.4775, 0.3234, 0.3008], [0.0000, 0.0000, 0.0000], [0.8821, 0.6179, 0.0000], [0.6179, 0.1179, 0.0000], [0.1179, 0.3821, 0.0000], [0.3821, 0.8821, 0.0000], [0.2500, 0.2500, 0.5000], [0.7500, 0.7500, 0.5000]]
}

{
  "formula": "SmAl4Ga",
  "functional": "PBE-GGA",
  "state": "optimized geometry",
  "e_form_kj_per_mol_fu": -145,
  "crystal_system": "orthorhombic",
  "de_polymorph_ev_per_fu": 0.00,
  "mass_density_g_cm3": 4.73,
  "cell": [[4.0241, 0.0000, -1.3648], [0.0000, 4.3053, 0.0000], [0.0099, 0.0000, 6.6443]],
  "species": ["Al", "Al", "Al", "Al", "Ga", "Sm"],
  "frac_coords": [[0.8197, 0.5000, 0.6394], [0.1803, 0.5000, 0.3606], [0.6761, 0.0000, 0.3522], [0.3239, 0.0000, 0.6478], [0.0000, 0.0000, 0.0000], [0.5000, 0.5000, 0.0000]]
}

{
  "formula": "SmAl8Ga6",
  "functional": "PBE-GGA",
  "state": "optimized geometry",
  "e_form_kj_per_mol_fu": -31,
  "crystal_system": "trigonal",
  "mass_density_g_cm3": 4.52,
  "cell": [[6.7999, 0.0000, 0.0000], [3.4000, 5.8889, 0.0000], [3.4000, 1.9630, 7.1975]],
  "species": ["Ga", "Ga", "Ga", "Ga", "Ga", "Ga", "Al", "Al", "Al", "Al", "Al", "Al", "Al", "Al", "Sm"],
  "frac_coords": [[0.7005, 0.5171, 0.7743], [0.4829, 0.9920, 0.2257], [0.5171, 0.0080, 0.7743], [0.2995, 0.4829, 0.2257], [0.9920, 0.2995, 0.2257], [0.0080, 0.7005, 0.7743], [0.3602, 0.3602, 0.9195], [0.1347, 0.8247, 0.3953], [0.8247, 0.6453, 0.3953], [0.8653, 0.1753, 0.6047], [0.1753, 0.3547, 0.6047], [0.3547, 0.8653, 0.6047], [0.6453, 0.1347, 0.3953], [0.6398, 0.6398, 0.0805], [0.0000, 0.0000, 0.0000]]
}

{
  "formula": "SmAl2Ga",
  "functional": "PBE-GGA",
  "state": "optimized geometry",
  "e_form_kj_per_mol_fu": -168,
  "crystal_system": "tetragonal",
  "mass_density_g_cm3": 5.62,
  "cell": [[4.3892, 0.0000, 0.0000], [0.0000, 4.2943, 0.0000], [0.0000, 0.0000, 4.2943]],
  "species": ["Al", "Al", "Ga", "Sm"],
  "frac_coords": [[0.0000, 0.0000, 0.5000], [0.0000, 0.5000, 0.0000], [0.5000, 0.0000, 0.0000], [0.5000, 0.5000, 0.5000]]
}